*A*
# Ca2ScW meta-GGA SCAN PBEsol geometry
# Total magnetic moment (μB/f.u.): 0.961
# N(E_F) (states/eV per cell): 4.688
# Space group: F-43m (216)
data_Ca2ScW
_cell_length_a 5.098
_cell_length_b 5.098
_cell_length_c 5.098
_cell_angle_alpha 60.00
_cell_angle_beta 60.00
_cell_angle_gamma 60.00
_space_group_name_H-M_alt 'P 1'
_space_group_IT_number 1
_space_group_name_Hall 'P 1'
loop_
_atom_site_label
_atom_site_type_symbol
_atom_site_fract_x
_atom_site_fract_y
_atom_site_fract_z
Sc1 Sc 0.500 0.500 0.500
Ca1 Ca 0.750 0.750 0.750
Ca2 Ca 0.000 0.000 0.000
W1 W 0.250 0.250 0.250


*B*
# Ca2ScW meta-GGA SCAN PBEsol geometry
# Total magnetic moment (μB/f.u.): 0.032
# N(E_F) (states/eV per cell): 4.512
# Space group: P4/mmm (123)
data_Ca2ScW
_cell_length_a 4.374
_cell_length_b 4.374
_cell_length_c 4.904
_cell_angle_alpha 90.00
_cell_angle_beta 90.00
_cell_angle_gamma 90.00
_space_group_name_H-M_alt 'P 1'
_space_group_IT_number 1
_space_group_name_Hall 'P 1'
loop_
_atom_site_label
_atom_site_type_symbol
_atom_site_fract_x
_atom_site_fract_y
_atom_site_fract_z
Sc1 Sc 0.500 0.500 0.500
W1 W 0.000 0.000 0.500
Ca1 Ca 0.500 0.000 0.000
Ca2 Ca 0.000 0.500 0.000


Order of stability, best first: *A*, *B*


*A*
# CaScW2 meta-GGA SCAN PBEsol geometry
# Total magnetic moment (μB/f.u.): 0.000
# N(E_F) (states/eV per cell): 3.054
# Space group: Cmmm (65)
data_CaScW2
_cell_length_a 2.782
_cell_length_b 2.782
_cell_length_c 9.878
_cell_angle_alpha 90.00
_cell_angle_beta 90.00
_cell_angle_gamma 102.81
_space_group_name_H-M_alt 'P 1'
_space_group_IT_number 1
_space_group_name_Hall 'P 1'
loop_
_atom_site_label
_atom_site_type_symbol
_atom_site_fract_x
_atom_site_fract_y
_atom_site_fract_z
Ca1 Ca 0.500 0.500 0.500
Sc1 Sc 0.500 0.500 0.000
W1 W 0.000 0.000 0.765
W2 W 0.000 0.000 0.235


*B*
# CaScW2 meta-GGA SCAN PBEsol geometry
# Total magnetic moment (μB/f.u.): 0.080
# N(E_F) (states/eV per cell): 4.075
# Space group: Cmm2 (35)
data_CaScW2
_cell_length_a 2.914
_cell_length_b 2.914
_cell_length_c 10.024
_cell_angle_alpha 90.00
_cell_angle_beta 90.00
_cell_angle_gamma 110.86
_space_group_name_H-M_alt 'P 1'
_space_group_IT_number 1
_space_group_name_Hall 'P 1'
loop_
_atom_site_label
_atom_site_type_symbol
_atom_site_fract_x
_atom_site_fract_y
_atom_site_fract_z
W1 W 0.000 0.000 0.982
W2 W 0.500 0.500 0.783
Ca1 Ca 0.000 0.000 0.525
Sc1 Sc 0.500 0.500 0.210


Order of stability, best first: *B*, *A*


*A*
# CaY2Sc meta-GGA SCAN PBEsol geometry
# Total magnetic moment (μB/f.u.): 0.116
# N(E_F) (states/eV per cell): 4.418
# Space group: R-3m (166)
data_CaY2Sc
_cell_length_a 3.486
_cell_length_b 3.486
_cell_length_c 11.767
_cell_angle_alpha 81.48
_cell_angle_beta 81.48
_cell_angle_gamma 60.00
_space_group_name_H-M_alt 'P 1'
_space_group_IT_number 1
_space_group_name_Hall 'P 1'
loop_
_atom_site_label
_atom_site_type_symbol
_atom_site_fract_x
_atom_site_fract_y
_atom_site_fract_z
Y1 Y 0.742 0.742 0.774
Y2 Y 0.258 0.258 0.226
Ca1 Ca 0.500 0.500 0.500
Sc1 Sc 0.000 0.000 0.000


*B*
# CaY2Sc meta-GGA SCAN PBEsol geometry
# Total magnetic moment (μB/f.u.): 0.307
# N(E_F) (states/eV per cell): 3.917
# Space group: P4/mmm (123)
data_CaY2Sc
_cell_length_a 3.797
_cell_length_b 3.799
_cell_length_c 8.706
_cell_angle_alpha 90.00
_cell_angle_beta 90.02
_cell_angle_gamma 90.00
_space_group_name_H-M_alt 'P 1'
_space_group_IT_number 1
_space_group_name_Hall 'P 1'
loop_
_atom_site_label
_atom_site_type_symbol
_atom_site_fract_x
_atom_site_fract_y
_atom_site_fract_z
Y1 Y 0.000 0.000 0.295
Y2 Y 0.000 0.000 0.705
Sc1 Sc 0.500 0.500 0.500
Ca1 Ca 0.500 0.500 0.000


*C*
# CaY2Sc meta-GGA SCAN PBEsol geometry
# Total magnetic moment (μB/f.u.): 1.218
# N(E_F) (states/eV per cell): 6.319
# Space group: C2/m (12)
data_CaY2Sc
_cell_length_a 3.372
_cell_length_b 6.550
_cell_length_c 6.557
_cell_angle_alpha 117.00
_cell_angle_beta 99.72
_cell_angle_gamma 100.18
_space_group_name_H-M_alt 'P 1'
_space_group_IT_number 1
_space_group_name_Hall 'P 1'
loop_
_atom_site_label
_atom_site_type_symbol
_atom_site_fract_x
_atom_site_fract_y
_atom_site_fract_z
Y1 Y 0.500 0.500 0.500
Y2 Y 0.000 0.000 0.500
Ca1 Ca 0.500 0.000 0.000
Sc1 Sc 0.000 0.500 0.000


Order of stability, best first: *B*, *A*, *C*


*A*
# CaY2Sc meta-GGA SCAN PBEsol geometry
# Total magnetic moment (μB/f.u.): 1.065
# N(E_F) (states/eV per cell): 5.990
# Space group: F-43m (216)
data_CaY2Sc
_cell_length_a 5.560
_cell_length_b 5.560
_cell_length_c 5.560
_cell_angle_alpha 60.00
_cell_angle_beta 60.00
_cell_angle_gamma 60.00
_space_group_name_H-M_alt 'P 1'
_space_group_IT_number 1
_space_group_name_Hall 'P 1'
loop_
_atom_site_label
_atom_site_type_symbol
_atom_site_fract_x
_atom_site_fract_y
_atom_site_fract_z
Y1 Y 0.750 0.750 0.750
Y2 Y 0.000 0.000 0.000
Sc1 Sc 0.250 0.250 0.250
Ca1 Ca 0.500 0.500 0.500


*B*
# CaY2Sc meta-GGA SCAN PBEsol geometry
# Total magnetic moment (μB/f.u.): 0.000
# N(E_F) (states/eV per cell): 5.940
# Space group: Fm-3m (225)
data_CaY2Sc
_cell_length_a 5.543
_cell_length_b 5.543
_cell_length_c 5.543
_cell_angle_alpha 60.00
_cell_angle_beta 60.00
_cell_angle_gamma 60.00
_space_group_name_H-M_alt 'P 1'
_space_group_IT_number 1
_space_group_name_Hall 'P 1'
loop_
_atom_site_label
_atom_site_type_symbol
_atom_site_fract_x
_atom_site_fract_y
_atom_site_fract_z
Sc1 Sc 0.500 0.500 0.500
Ca1 Ca 0.000 0.000 0.000
Y1 Y 0.250 0.250 0.250
Y2 Y 0.750 0.750 0.750


Order of stability, best first: *B*, *A*


*A*
# CaY2Sc meta-GGA SCAN PBEsol geometry
# Total magnetic moment (μB/f.u.): 2.810
# N(E_F) (states/eV per cell): 4.525
# Space group: Cmmm (65)
data_CaY2Sc
_cell_length_a 3.487
_cell_length_b 6.037
_cell_length_c 6.037
_cell_angle_alpha 108.99
_cell_angle_beta 90.00
_cell_angle_gamma 90.00
_space_group_name_H-M_alt 'P 1'
_space_group_IT_number 1
_space_group_name_Hall 'P 1'
loop_
_atom_site_label
_atom_site_type_symbol
_atom_site_fract_x
_atom_site_fract_y
_atom_site_fract_z
Y1 Y 0.000 0.000 0.500
Y2 Y 0.000 0.500 0.000
Sc1 Sc 0.500 0.500 0.500
Ca1 Ca 0.500 0.000 0.000


*B*
# CaY2Sc meta-GGA SCAN PBEsol geometry
# Total magnetic moment (μB/f.u.): 2.186
# N(E_F) (states/eV per cell): 5.714
# Space group: Pmm2 (25)
data_CaY2Sc
_cell_length_a 3.478
_cell_length_b 4.925
_cell_length_c 7.086
_cell_angle_alpha 90.00
_cell_angle_beta 90.00
_cell_angle_gamma 90.00
_space_group_name_H-M_alt 'P 1'
_space_group_IT_number 1
_space_group_name_Hall 'P 1'
loop_
_atom_site_label
_atom_site_type_symbol
_atom_site_fract_x
_atom_site_fract_y
_atom_site_fract_z
Ca1 Ca 0.000 0.000 0.506
Y1 Y 0.000 0.000 0.993
Y2 Y 0.500 0.500 0.233
Sc1 Sc 0.500 0.500 0.768


Order of stability, best first: *B*, *A*


*A*
# CaYSc2 meta-GGA SCAN PBEsol geometry
# Total magnetic moment (μB/f.u.): 0.006
# N(E_F) (states/eV per cell): 7.352
# Space group: Cmmm (65)
data_CaYSc2
_cell_length_a 3.404
_cell_length_b 5.925
_cell_length_c 5.925
_cell_angle_alpha 109.32
_cell_angle_beta 90.00
_cell_angle_gamma 90.00
_space_group_name_H-M_alt 'P 1'
_space_group_IT_number 1
_space_group_name_Hall 'P 1'
loop_
_atom_site_label
_atom_site_type_symbol
_atom_site_fract_x
_atom_site_fract_y
_atom_site_fract_z
Y1 Y 0.500 0.000 0.000
Sc1 Sc 0.000 0.000 0.500
Sc2 Sc 0.000 0.500 0.000
Ca1 Ca 0.500 0.500 0.500


*B*
# CaYSc2 meta-GGA SCAN PBEsol geometry
# Total magnetic moment (μB/f.u.): 0.572
# N(E_F) (states/eV per cell): 4.580
# Space group: P4mm (99)
data_CaYSc2
_cell_length_a 3.705
_cell_length_b 3.705
_cell_length_c 8.565
_cell_angle_alpha 90.00
_cell_angle_beta 90.00
_cell_angle_gamma 90.00
_space_group_name_H-M_alt 'P 1'
_space_group_IT_number 1
_space_group_name_Hall 'P 1'
loop_
_atom_site_label
_atom_site_type_symbol
_atom_site_fract_x
_atom_site_fract_y
_atom_site_fract_z
Sc1 Sc 0.500 0.500 0.231
Sc2 Sc 0.000 0.000 0.046
Ca1 Ca 0.500 0.500 0.768
Y1 Y 0.000 0.000 0.454


Order of stability, best first: *B*, *A*